(1)
First-principles (SCAN) data for ZnCu2P at its PBEsol-relaxed geometry, as listed in Alexandria via LeMat-Bulk. Values from VASP.

```
&SYSTEM
  ibrav = 0, nat = 4, ntyp = 3
/
ATOMIC_SPECIES
P 30.97 P.upf
Zn 65.41 Zn.upf
Cu 63.55 Cu.upf
CELL_PARAMETERS angstrom
-0.4040 -2.1836 1.3833
2.1576 1.8222 3.5098
-4.3928 0.9677 0.2476
ATOMIC_POSITIONS angstrom
P -0.2020 -1.0918 0.6916
Zn -1.3196 0.3032 2.5704
Cu -2.1964 0.4838 0.1238
Cu 1.0788 0.9111 1.7549
```


(2)
First-principles (SCAN) data for ZnCuP3 at its PBEsol-relaxed geometry, as listed in Alexandria via LeMat-Bulk. Values from VASP.

```
&SYSTEM
  ibrav = 0, nat = 5, ntyp = 3
/
ATOMIC_SPECIES
Zn 65.41 Zn.upf
Cu 63.55 Cu.upf
P 30.97 P.upf
CELL_PARAMETERS angstrom
-0.2042 0.7054 -4.3814
-0.7161 -4.3338 -0.6644
-4.3797 0.6757 0.3129
ATOMIC_POSITIONS angstrom
Zn -2.6500 -1.4763 -2.3664
Cu 0.0000 0.0000 0.0000
P -0.1021 0.3527 -2.1907
P -0.3581 -2.1669 -0.3322
P -2.1898 0.3379 0.1564
```


(3)
First-principles (SCAN) data for ZnCu2P at its PBEsol-relaxed geometry, as listed in Alexandria via LeMat-Bulk. Values from VASP.

```
&SYSTEM
  ibrav = 0, nat = 4, ntyp = 3
/
ATOMIC_SPECIES
P 30.97 P.upf
Cu 63.55 Cu.upf
Zn 65.41 Zn.upf
CELL_PARAMETERS angstrom
-0.0062 2.2303 1.5512
0.4469 -0.2025 2.6720
7.8170 1.5438 0.1906
ATOMIC_POSITIONS angstrom
P 4.1288 1.7858 2.2069
Cu 2.1403 0.9015 1.0914
Cu 6.1174 2.6701 3.3224
Zn 0.0000 0.0000 0.0000
```


(4)
First-principles (SCAN) data for ZnCu2P at its PBEsol-relaxed geometry, as listed in Alexandria via LeMat-Bulk. Values from VASP.

```
&SYSTEM
  ibrav = 0, nat = 4, ntyp = 3
/
ATOMIC_SPECIES
Cu 63.55 Cu.upf
P 30.97 P.upf
Zn 65.41 Zn.upf
CELL_PARAMETERS angstrom
-3.4006 -0.7086 -0.9508
0.5604 -3.5052 0.6082
0.3124 2.5588 3.7965
ATOMIC_POSITIONS angstrom
Cu -2.2542 -0.1284 1.3372
Cu 0.0000 0.0000 0.0000
P -1.4201 -2.1069 -0.1713
Zn -0.2737 -1.5267 2.1167
```


Here are the calculated energy relative to the elements numbers, same order: 0.59 5.00 0.47 0.35 (eV per formula unit).
Here are the calculated E numbers, same order: -53.73 -54.91 -53.85 -53.97 (eV for the cell shown).
Here are the calculated spin magnetization numbers, same order: 0.00 0.00 0.00 0.00 (μB/cell).